Arrangement P

Below is a relaxed SrCr2CdBr crystal, with properties calculated at the PBE level.

Cell and atoms, written as POSCAR:
```
SrCr2CdBr
1.0
-4.441 2.255 -1.272
-1.101 -4.659 -4.414
-2.439 -2.795 3.559
Cr Cd Br Sr
2 1 1 1
Cartesian
-1.219 -1.398 1.779
-2.220 1.127 -0.636
0.000 0.000 0.000
-3.990 -2.600 -1.064
-0.551 -2.330 -2.207
```

Properties
M_tot: 9.09 μB per cell

---

Arrangement Q

Below is a relaxed SrCr2CdBr crystal, with properties calculated at the PBE level.

Cell and atoms, written as POSCAR:
```
SrCr2CdBr
1.0
4.570 0.000 0.000
0.000 5.956 0.000
0.000 0.000 4.570
Sr Cr Cd Br
1 2 1 1
Cartesian
2.285 2.978 2.285
2.285 0.000 0.000
0.000 0.000 2.285
0.000 2.978 0.000
0.000 0.000 0.000
```

Properties
M_tot: 0.29 μB per cell

---

Stability verdict: arrangement P, ahead by 57.6 kJ/mol of atoms

---

Arrangement P

Below is a relaxed CsCdBr3 crystal, with properties calculated at the PBE level.

Cell and atoms, written as POSCAR:
```
CsCdBr3
1.0
-6.089 -3.213 -1.106
5.702 -11.913 3.219
-5.772 7.608 9.675
Br Cd Cs
18 6 6
Cartesian
0.197 -3.859 4.703
2.070 -7.049 3.660
-3.631 2.650 6.868
-4.522 -5.958 9.979
-1.758 -0.533 5.803
-5.406 -1.114 0.769
-6.686 0.344 8.408
-3.533 -4.300 -0.285
-1.431 -1.452 1.847
-1.910 -6.701 2.579
-4.814 -2.845 7.366
-2.707 -0.004 9.489
1.111 -6.500 7.341
-5.728 -0.205 4.728
3.352 -10.718 2.436
-0.986 -9.355 5.201
-2.859 -6.172 6.266
-6.249 5.618 7.838
-5.969 -3.150 -1.084
-4.232 -0.105 7.108
-7.276 -1.711 6.556
-2.925 -1.543 -0.531
-0.407 -6.612 4.956
-3.452 -8.218 4.403
-7.909 2.922 5.705
0.884 -4.518 0.890
-1.067 -3.406 8.402
-0.267 -10.079 1.406
-2.948 2.003 3.046
-4.088 -3.583 3.569
```

Properties
M_tot: 0.00 μB per cell

---

Arrangement Q

Below is a relaxed CsCdBr3 crystal, with properties calculated at the PBE level.

Cell and atoms, written as POSCAR:
```
CsCdBr3
1.0
5.598 0.000 0.000
0.000 5.598 0.000
0.000 0.000 5.598
Br Cs Cd
3 1 1
Cartesian
2.799 0.000 0.000
0.000 0.000 2.799
0.000 2.799 0.000
2.799 2.799 2.799
0.000 0.000 0.000
```

Properties
M_tot: 0.00 μB per cell

---

Arrangement R

Below is a relaxed CsCdBr3 crystal, with properties calculated at the PBE level.

Cell and atoms, written as POSCAR:
```
CsCdBr3
1.0
5.562 -0.029 -0.023
0.097 8.916 0.023
0.095 2.266 8.627
Br Cs Cd
6 2 2
Cartesian
2.910 4.911 6.817
2.854 3.237 2.694
5.470 0.371 0.470
5.606 7.142 8.549
2.952 9.419 6.264
5.566 6.559 4.044
2.791 7.002 1.555
5.628 2.797 5.173
4.161 2.602 0.554
4.259 7.187 6.187
```

Properties
M_tot: 0.00 μB per cell

---

Stability verdict: arrangement P, ahead by 1.0 kJ/mol of atoms

---

Arrangement P

Below is a relaxed Cs2CdBr2 crystal, with properties calculated at the PBE level.

Cell and atoms, written as POSCAR:
```
Cs2CdBr2
1.0
-8.643 -5.279 -1.146
4.477 -5.791 -7.092
1.327 -2.863 3.176
Cd Cs Br
2 4 4
Cartesian
-2.083 -5.535 -4.119
0.000 0.000 0.000
0.755 -6.838 -6.479
0.351 -2.822 -2.690
-4.921 -4.232 -1.758
-4.517 -8.248 -5.547
-5.104 -7.913 -1.844
-1.186 -9.783 -5.168
-1.652 -4.149 0.106
2.265 -6.019 -3.217
```

Properties
M_tot: 0.00 μB per cell

---

Arrangement Q

Below is a relaxed Cs2CdBr2 crystal, with properties calculated at the PBE level.

Cell and atoms, written as POSCAR:
```
Cs2CdBr2
1.0
-4.468 0.708 -5.226
4.921 -1.903 -4.465
-1.709 -7.340 -4.104
Cd Br Cs
1 2 2
Cartesian
0.000 0.000 0.000
1.719 -4.920 -6.707
-2.975 -3.615 -7.088
-0.528 -3.225 -4.557
-0.729 -5.310 -9.239
```

Properties
M_tot: 0.00 μB per cell

---

Stability verdict: arrangement P, ahead by 4.8 kJ/mol of atoms

---

Arrangement P

Below is a relaxed Cs2Cd2Br crystal, with properties calculated at the PBE level.

Cell and atoms, written as POSCAR:
```
Cs2Cd2Br
1.0
-6.466 -2.585 2.355
1.632 -6.609 -2.774
-0.301 -5.909 4.160
Br Cs Cd
1 2 2
Cartesian
0.000 0.000 0.000
-0.543 -8.558 0.588
-4.592 -6.546 3.153
-3.356 -10.111 2.635
-1.780 -4.992 1.106
```

Properties
M_tot: 0.00 μB per cell

---

Arrangement Q

Below is a relaxed Cs2Cd2Br crystal, with properties calculated at the PBE level.

Cell and atoms, written as POSCAR:
```
Cs2Cd2Br
1.0
-0.900 -4.165 1.024
2.577 0.311 3.530
-7.841 1.434 8.317
Cd Br Cs
2 1 2
Cartesian
-2.213 -0.091 7.062
-3.951 -2.329 5.809
0.000 0.000 0.000
-5.327 -1.142 9.428
-0.837 -1.278 3.443
```

Properties
M_tot: 0.00 μB per cell

---

Stability verdict: arrangement Q, ahead by 29.5 kJ/mol of atoms

---

Arrangement P

Below is a relaxed CsCd2Br crystal, with properties calculated at the PBE level.

Cell and atoms, written as POSCAR:
```
CsCd2Br
1.0
0.000 4.392 4.392
4.392 0.000 4.392
4.392 4.392 0.000
Br Cs Cd
1 1 2
Cartesian
0.000 0.000 0.000
4.392 4.392 4.392
6.588 6.588 6.588
2.196 2.196 2.196
```

Properties
M_tot: 0.00 μB per cell

---

Arrangement Q

Below is a relaxed CsCd2Br crystal, with properties calculated at the PBE level.

Cell and atoms, written as POSCAR:
```
CsCd2Br
1.0
-2.846 0.308 9.802
7.721 -6.222 2.438
4.474 -0.232 6.626
Cd Cs Br
4 2 2
Cartesian
5.485 -3.897 4.761
5.464 -2.618 9.648
0.408 -0.655 7.731
7.340 -5.123 15.590
2.033 -1.441 11.274
0.000 0.000 0.000
2.437 -2.957 6.120
7.316 -4.705 7.591
```

Properties
M_tot: 0.00 μB per cell

---

Stability verdict: arrangement Q, ahead by 7.5 kJ/mol of atoms

---

Arrangement P

Below is a relaxed CsCd3Br crystal, with properties calculated at the PBE level.

Cell and atoms, written as POSCAR:
```
CsCd3Br
1.0
-6.164 0.534 -2.156
0.338 -6.061 -2.466
-2.195 -2.431 5.674
Cs Cd Br
1 3 1
Cartesian
-4.011 -3.979 0.526
0.169 -3.030 -1.233
-1.098 -1.216 2.837
-3.082 0.267 -1.078
0.000 0.000 0.000
```

Properties
M_tot: 0.00 μB per cell

---

Arrangement Q

Below is a relaxed CsCd3Br crystal, with properties calculated at the PBE level.

Cell and atoms, written as POSCAR:
```
CsCd3Br
1.0
-0.056 7.096 1.629
-7.281 -0.073 0.065
0.080 -1.628 7.096
Cd Br Cs
3 1 1
Cartesian
-3.640 -0.036 0.032
-0.028 3.548 0.815
0.040 -0.814 3.548
-3.629 2.698 4.395
0.000 0.000 0.000
```

Properties
M_tot: 0.00 μB per cell

---

Stability verdict: arrangement P, ahead by 18.3 kJ/mol of atoms

---

Arrangement P

Below is a relaxed CsCd2Br2 crystal, with properties calculated at the PBE level.

Cell and atoms, written as POSCAR:
```
CsCd2Br2
1.0
-1.883 -3.638 -1.102
1.397 -1.806 3.575
-8.259 0.053 5.770
Br Cs Cd
2 1 2
Cartesian
-2.021 -2.106 2.243
-6.723 -3.285 6.001
0.000 0.000 0.000
-5.192 -3.154 2.953
-3.552 -2.237 5.291
```

Properties
M_tot: 0.00 μB per cell

---

Arrangement Q

Below is a relaxed CsCd2Br2 crystal, with properties calculated at the PBE level.

Cell and atoms, written as POSCAR:
```
CsCd2Br2
1.0
-4.820 -0.894 3.272
-1.162 -4.907 -3.052
-0.120 -5.730 3.566
Cs Br Cd
1 2 2
Cartesian
0.000 0.000 0.000
-3.965 -4.762 3.474
-2.136 -6.768 0.312
-2.218 -3.662 1.041
-3.884 -7.868 2.746
```

Properties
M_tot: 0.00 μB per cell

---

Stability verdict: arrangement P, ahead by 4.3 kJ/mol of atoms

---

Arrangement P

Below is a relaxed CsCdIBr2 crystal, with properties calculated at the PBE level.

Cell and atoms, written as POSCAR:
```
CsCdIBr2
1.0
-3.999 0.090 -4.939
0.434 -8.628 -0.508
-7.029 1.956 5.726
Cd Cs Br I
2 2 4 2
Cartesian
-6.535 -6.220 3.133
-4.059 -0.363 -2.854
-2.997 -5.466 0.282
-7.597 -1.116 -0.004
-5.031 -7.152 -2.191
-1.919 -0.202 -0.495
-5.563 0.569 2.470
-8.675 -6.380 0.773
-4.743 -2.991 -2.348
-5.851 -3.591 2.627
```

Properties
M_tot: 0.00 μB per cell

---

Arrangement Q

Below is a relaxed CsCdIBr2 crystal, with properties calculated at the PBE level.

Cell and atoms, written as POSCAR:
```
CsCdIBr2
1.0
-3.317 1.284 -4.398
-1.196 -5.483 -0.700
-4.671 0.549 3.683
I Br Cd Cs
1 2 1 1
Cartesian
-2.336 0.274 1.842
-1.658 0.642 -2.199
-0.598 -2.742 -0.350
0.000 0.000 0.000
-4.592 -1.825 -0.707
```

Properties
M_tot: 0.00 μB per cell

---

Stability verdict: arrangement P, ahead by 4.0 kJ/mol of atoms

---

Arrangement P

Below is a relaxed Cs2CdPtBr6 crystal, with properties calculated at the PBE level.

Cell and atoms, written as POSCAR:
```
Cs2CdPtBr6
1.0
-7.505 -1.786 0.932
-2.037 -5.992 4.509
-3.803 5.453 12.224
Cd Cs Br Pt
2 4 12 2
Cartesian
-6.510 -3.255 6.126
-6.834 0.930 11.540
-3.574 2.496 8.398
-10.092 -0.665 14.645
-9.770 -4.821 9.267
-3.253 -1.661 3.020
-8.078 -5.595 5.771
-9.147 2.346 12.376
-5.069 -0.893 6.698
-5.266 3.269 11.894
-7.297 1.447 8.801
-4.670 -0.574 10.519
-8.674 -1.751 7.146
-6.047 -3.772 8.864
-7.025 -2.496 3.439
-6.320 0.171 14.226
-4.197 -4.671 5.289
-8.276 -1.432 10.967
-6.672 -1.163 8.833
0.000 0.000 0.000
```

Properties
M_tot: 1.86 μB per cell

---

Arrangement Q

Below is a relaxed Cs2CdPtBr6 crystal, with properties calculated at the PBE level.

Cell and atoms, written as POSCAR:
```
Cs2CdPtBr6
1.0
7.759 0.000 0.000
0.000 7.759 0.000
3.880 3.880 5.526
Br Cs Cd Pt
6 2 1 1
Cartesian
3.880 3.880 2.957
1.878 5.882 0.000
5.882 5.882 0.000
7.759 7.759 2.569
1.878 1.878 0.000
5.882 1.878 0.000
7.759 3.880 2.763
3.880 7.759 2.763
3.880 3.880 0.000
0.000 0.000 0.000
```

Properties
M_tot: 0.00 μB per cell

---

Stability verdict: arrangement Q, ahead by 0.8 kJ/mol of atoms

---

Arrangement P

Below is a relaxed CdCuBr3 crystal, with properties calculated at the PBE level.

Cell and atoms, written as POSCAR:
```
CdCuBr3
1.0
7.479 0.000 0.075
0.000 7.836 0.000
0.067 0.000 10.533
Br Cd Cu
12 4 4
Cartesian
7.069 5.796 5.463
3.296 5.959 0.158
3.186 4.223 7.109
4.575 0.385 6.963
0.477 2.041 5.146
0.655 0.304 8.728
2.972 7.452 3.645
6.745 4.303 8.949
6.892 7.532 1.880
4.361 3.614 3.499
0.801 3.533 1.659
4.251 1.877 10.450
3.177 1.970 5.300
4.370 5.867 5.309
0.664 5.888 10.538
6.883 1.948 0.071
4.246 4.116 9.348
7.074 0.198 6.564
3.301 3.720 1.260
0.472 7.639 4.044
```

Properties
M_tot: 0.21 μB per cell

---

Arrangement Q

Below is a relaxed CdCuBr3 crystal, with properties calculated at the PBE level.

Cell and atoms, written as POSCAR:
```
CdCuBr3
1.0
-0.888 2.912 2.802
1.814 -6.026 3.784
11.231 4.569 -1.188
Br Cd Cu
6 2 2
Cartesian
1.525 -0.963 1.485
7.538 -0.718 3.137
10.631 2.419 3.912
8.757 2.446 0.234
4.618 2.173 2.261
3.399 -0.991 5.163
3.454 0.521 0.554
8.702 0.934 4.844
9.200 3.464 2.372
2.956 -2.009 3.026
```

Properties
M_tot: 0.00 μB per cell

---

Stability verdict: arrangement P, ahead by 1.9 kJ/mol of atoms

---

Arrangement P

Below is a relaxed Cd3CuBr crystal, with properties calculated at the PBE level.

Cell and atoms, written as POSCAR:
```
Cd3CuBr
1.0
-3.374 -4.516 -1.249
0.495 -1.874 5.439
-4.659 3.072 1.482
Cd Cu Br
3 1 1
Cartesian
-1.687 -2.258 -0.624
-2.329 1.536 0.741
0.247 -0.937 2.719
-3.769 -1.659 2.836
0.000 0.000 0.000
```

Properties
M_tot: 0.00 μB per cell

---

Arrangement Q

Below is a relaxed Cd3CuBr crystal, with properties calculated at the PBE level.

Cell and atoms, written as POSCAR:
```
Cd3CuBr
1.0
5.140 0.000 0.000
0.000 5.140 0.000
0.000 0.000 5.140
Cd Br Cu
3 1 1
Cartesian
0.000 2.570 0.000
0.000 0.000 2.570
2.570 0.000 0.000
2.570 2.570 2.570
0.000 0.000 0.000
```

Properties
M_tot: 0.00 μB per cell

---

Stability verdict: arrangement Q, ahead by 77.9 kJ/mol of atoms